NiAg2 | PBE | optimized geometry Values from VASP.

The structure in Quantum ESPRESSO input format:
```
&SYSTEM
  ibrav = 0, nat = 3, ntyp = 2
/
ATOMIC_SPECIES
Ag 107.87 Ag.upf
Ni 58.69 Ni.upf
ATOMIC_POSITIONS angstrom
Ag -4.936 5.919 -3.754
Ag -3.345 4.011 -2.544
Ni -1.656 1.986 -1.260
CELL_PARAMETERS angstrom
-0.708 3.519 -3.373
-4.261 2.438 -0.406
3.757 -1.260 2.926
```

Output
The value obtained for the polymorph energy (0 for the lowest one) is 60.5 meV/atom. Its crystal system is orthorhombic. The uncorrected energy comes out at -3.588 eV/atom. The value obtained for the formation energy is 0.24 eV/atom.